Record 1
Entry from Alexandria via LeMat-Bulk: a relaxed structure of ZnMoAsSe2 (PBE).

Calculated values
* relative energy among the computed polymorphs: 0 meV/atom
* D(E_F): 4.01 states/eV/f.u.
* size of the total moment: 0.0 μB per formula unit
* raw formation energy: 0.327 eV/atom

Cell: 4.9157 4.9157 5.0010 Å, 90.00 90.00 90.00°
Space group P4/mmm (No. 123)
Symmetry-distinct sites (fractional):
Zn 0.0000 0.0000 0.0000 (multiplicity 1)
Mo 0.5000 0.5000 0.5000 (multiplicity 1)
As 0.5000 0.5000 0.0000 (multiplicity 1)
Se 0.0000 0.5000 0.5000 (multiplicity 2)

Record 2
Entry from Alexandria via LeMat-Bulk: a relaxed structure of KSb2 (PBE).

Calculated values
* D(E_F): 1.19 states/eV/f.u.
* size of the total moment: 0.0 μB per formula unit
* raw formation energy: -0.209 eV/atom

Cell: 4.3787 23.9738 4.2325 Å, 90.00 90.00 90.00°
Space group Cmcm (No. 63)
Symmetry-distinct sites (fractional):
K 0.0000 0.1235 0.2500 (multiplicity 4)
Sb 0.0000 0.2549 0.7500 (multiplicity 4)
Sb 0.0000 0.4617 0.2500 (multiplicity 4)

Record 3
Entry from Alexandria via LeMat-Bulk: a relaxed structure of La7Er2Cd2 (PBE).

Calculated values
* D(E_F): 15.18 states/eV/f.u.
* size of the total moment: 0.0 μB per formula unit
* DFT formation energy: 24 meV per atom

Cell: 9.2930 10.0007 8.2462 Å, 90.00 101.89 90.00°
Space group C2/m (No. 12)
Symmetry-distinct sites (fractional):
La 0.0000 0.0000 0.0000 (multiplicity 2)
La 0.1651 0.5000 0.5002 (multiplicity 4)
La 0.1923 0.2837 0.1852 (multiplicity 8)
Er 0.0000 0.1670 0.5000 (multiplicity 4)
Cd 0.1042 0.5000 0.8731 (multiplicity 4)

Record 4
Entry from Alexandria via LeMat-Bulk: a relaxed structure of TaMn2Os (PBE).

Calculated values
* relative energy among the computed polymorphs: 178 meV/atom
* D(E_F): 4.77 states/eV/f.u.
* size of the total moment: 2.9 μB per formula unit
* DFT formation energy: 88 meV per atom

Cell: 2.7444 2.7444 7.4247 Å, 90.00 90.00 90.00°
Space group P4/mmm (No. 123)
Symmetry-distinct sites (fractional):
Ta 0.0000 0.0000 0.0000 (multiplicity 1)
Mn 0.5000 0.5000 0.2705 (multiplicity 2)
Os 0.0000 0.0000 0.5000 (multiplicity 1)

Record 5
Entry from Alexandria via LeMat-Bulk: a relaxed structure of Tb3DyY4 (PBE).

Calculated values
* relative energy among the computed polymorphs: 0 meV/atom
* D(E_F): 14.02 states/eV/f.u.
* size of the total moment: 0.0 μB per formula unit
* DFT formation energy: 5 meV per atom

Cell: 11.2961 7.2976 6.3088 Å, 90.00 90.00 90.00°
Space group Pmn2_1 (No. 31)
Symmetry-distinct sites (fractional):
Tb 0.0000 0.1239 0.0000 (multiplicity 2)
Tb 0.2500 0.1240 0.3300 (multiplicity 4)
Dy 0.0000 0.8755 0.5000 (multiplicity 2)
Y 0.0000 0.3740 0.4971 (multiplicity 2)
Y 0.0000 0.6257 0.9970 (multiplicity 2)
Y 0.2501 0.3742 0.8331 (multiplicity 4)

Record 6
Entry from Alexandria via LeMat-Bulk: a relaxed structure of LiY2Pt2 (PBE).

Calculated values
* relative energy among the computed polymorphs: 86 meV/atom
* D(E_F): 1.94 states/eV/f.u.
* size of the total moment: 0.0 μB per formula unit
* DFT formation energy: -912 meV per atom

Cell: 7.3113 11.0201 5.6598 Å, 90.00 90.00 90.00°
Space group Ibam (No. 72)
Symmetry-distinct sites (fractional):
Li 0.0000 0.0000 0.2500 (multiplicity 4)
Y 0.1540 0.3539 0.0000 (multiplicity 8)
Pt 0.2348 0.3919 0.5000 (multiplicity 8)

Record 7
Entry from Alexandria via LeMat-Bulk: a relaxed structure of Pm2Dy2Pd15 (PBE).

Calculated values
* D(E_F): 16.82 states/eV/f.u.
* size of the total moment: 0.0 μB per formula unit
* DFT formation energy: -570 meV per atom

Cell: 9.2449 9.2449 14.1711 Å, 90.00 90.00 120.00°
Space group R-3m (No. 166, hexagonal axes)
Symmetry-distinct sites (fractional):
Pm 0.0000 0.0000 0.1385 (multiplicity 6)
Dy 0.0000 0.0000 0.3916 (multiplicity 6)
Pd 0.0000 0.3067 0.5000 (multiplicity 18)
Pd 0.0000 0.5000 0.0000 (multiplicity 9)
Pd 0.0063 0.5032 0.6532 (multiplicity 18)

Record 8
Entry from Alexandria via LeMat-Bulk: a relaxed structure of Ac6BiSb2P3 (PBE).

Calculated values
* D(E_F): 1.80 states/eV/f.u.
* size of the total moment: 0.0 μB per formula unit
* raw formation energy: -1.275 eV/atom

Cell: 20.2568 4.6128 9.3106 Å, 90.00 104.03 90.00°
Space group C2/m (No. 12)
Symmetry-distinct sites (fractional):
Ac 0.0048 0.0000 0.2353 (multiplicity 4)
Ac 0.1628 0.5000 0.0937 (multiplicity 4)
Ac 0.1725 0.5000 0.5731 (multiplicity 4)
Bi 0.0000 0.5000 0.5000 (multiplicity 2)
Sb 0.1663 0.0000 0.8329 (multiplicity 4)
P 0.0000 0.5000 0.0000 (multiplicity 2)
P 0.1668 0.0000 0.3326 (multiplicity 4)

Record 9
Entry from Alexandria via LeMat-Bulk: a relaxed structure of Dy2NpScAs4 (PBE).

Calculated values
* D(E_F): 10.91 states/eV/f.u.
* size of the total moment: 3.7 μB per formula unit
* DFT formation energy: -1261 meV per atom

Cell: 7.0131 4.0543 7.0302 Å, 90.00 109.27 90.00°
Space group P2/m (No. 10)
Symmetry-distinct sites (fractional):
Dy 0.0000 0.0000 0.0000 (multiplicity 1)
Dy 0.5000 0.5000 0.0000 (multiplicity 1)
Np 0.0000 0.5000 0.5000 (multiplicity 1)
Sc 0.5000 0.0000 0.5000 (multiplicity 1)
As 0.2534 0.0000 0.7433 (multiplicity 2)
As 0.2579 0.5000 0.2615 (multiplicity 2)

Record 10
Entry from Alexandria via LeMat-Bulk: a relaxed structure of Ca2ScTa (PBE).

Calculated values
* relative energy among the computed polymorphs: 316 meV/atom
* D(E_F): 6.17 states/eV/f.u.
* size of the total moment: 0.7 μB per formula unit
* DFT formation energy: 676 meV per atom

Cell: 3.4035 5.3962 5.7715 Å, 90.00 90.00 90.00°
Space group Pmmm (No. 47)
Symmetry-distinct sites (fractional):
Ca 0.0000 0.0000 0.0000 (multiplicity 1)
Ca 0.5000 0.5000 0.0000 (multiplicity 1)
Sc 0.0000 0.5000 0.5000 (multiplicity 1)
Ta 0.5000 0.0000 0.5000 (multiplicity 1)

Record 11
Entry from Alexandria via LeMat-Bulk: a relaxed structure of SnTe3Au2 (PBE).

Calculated values
* relative energy among the computed polymorphs: 48 meV/atom
* D(E_F): 2.78 states/eV/f.u.
* size of the total moment: 0.0 μB per formula unit
* raw formation energy: -0.068 eV/atom

Cell: 23.4910 4.3583 7.3530 Å, 90.00 96.05 90.00°
Space group C2/m (No. 12)
Symmetry-distinct sites (fractional):
Sn 0.1534 0.0000 0.4670 (multiplicity 4)
Te 0.0736 0.0000 0.8697 (multiplicity 4)
Te 0.0824 0.5000 0.3064 (multiplicity 4)
Te 0.2378 0.0000 0.2000 (multiplicity 4)
Au 0.0409 0.5000 0.6601 (multiplicity 4)
Au 0.1870 0.0000 0.8319 (multiplicity 4)

Record 12
Entry from Alexandria via LeMat-Bulk: a relaxed structure of Al2AgSb (PBE).

Calculated values
* D(E_F): 0.93 states/eV/f.u.
* size of the total moment: 0.0 μB per formula unit
* raw formation energy: 0.115 eV/atom

Cell: 3.0320 3.0320 8.7214 Å, 90.00 90.00 90.00°
Space group P4mm (No. 99)
Symmetry-distinct sites (fractional):
Al 0.0000 0.0000 0.0000 (multiplicity 1)
Al 0.5000 0.5000 0.2241 (multiplicity 1)
Ag 0.5000 0.5000 0.7956 (multiplicity 1)
Sb 0.0000 0.0000 0.4967 (multiplicity 1)